SrCu2GeS4, optimized geometry, DFT GGA-PBEsol; space-group type = No. 154; DFT total energy = -0.182 Ha/atom; density = 4.297 Mg/m³
1.0
6.077 0.000 0.000
-3.038 5.263 0.000
0.000 0.000 15.064
Sr Cu Ge S
3 6 3 12
direct
0.000 0.552 0.333
0.448 0.448 0.000
0.552 0.000 0.667
0.075 0.649 0.088
0.351 0.426 0.755
0.426 0.351 0.245
0.574 0.925 0.422
0.649 0.075 0.912
0.925 0.574 0.578
0.000 0.712 0.833
0.288 0.288 0.500
0.712 0.000 0.167
0.035 0.502 0.718
0.105 0.337 0.165
0.232 0.895 0.498
0.337 0.105 0.835
0.468 0.965 0.051
0.498 0.532 0.384
0.502 0.035 0.282
0.532 0.498 0.616
0.663 0.768 0.831
0.768 0.663 0.169
0.895 0.232 0.502
0.965 0.468 0.949